1.
Compound: CaRe2
Source: the Alexandria database
Functional: PBE
Structure: relaxed

a = 4.1538 Å, b = 4.1538 Å, c = 4.8400 Å
α = 90.00°, β = 90.00°, γ = 120.00°
Space group P6/mmm (No. 191)
Asymmetric unit:
1 Ca 0.0000 0.0000 0.0000 (multiplicity 1)
2 Re 0.3333 0.6667 0.5000 (multiplicity 2)


2.
Compound: Ca3Re
Source: the Alexandria database
Functional: PBE
Structure: relaxed

a = 6.952 Å, b = 12.194 Å, c = 5.188 Å
α = 90.00°, β = 90.00°, γ = 90.00°
Space group Cmcm (No. 63)
Asymmetric unit:
1 Ca 0.000 0.183 0.250 (multiplicity 4)
2 Ca 0.229 0.411 0.250 (multiplicity 8)
3 Re 0.000 0.336 0.750 (multiplicity 4)


3.
Compound: Ca3Re5
Source: the Alexandria database
Functional: PBE
Structure: relaxed

a = 9.6876 Å, b = 9.6876 Å, c = 4.7091 Å
α = 90.00°, β = 90.00°, γ = 120.00°
Space group P6_3/mcm (No. 193)
Asymmetric unit:
1 Ca 0.0000 0.3796 0.2500 (multiplicity 6)
2 Re 0.0000 0.1468 0.7500 (multiplicity 6)
3 Re 0.3333 0.6667 0.0000 (multiplicity 4)


4.
Compound: Ca5Re3
Source: the Alexandria database
Functional: PBE
Structure: relaxed

a = 10.161 Å, b = 10.507 Å, c = 3.859 Å
α = 90.00°, β = 90.00°, γ = 90.00°
Space group Cmmm (No. 65)
Asymmetric unit:
1 Ca 0.000 0.000 0.000 (multiplicity 2)
2 Ca 0.000 0.273 0.500 (multiplicity 4)
3 Ca 0.250 0.250 0.000 (multiplicity 4)
4 Re 0.000 0.500 0.000 (multiplicity 2)
5 Re 0.166 0.500 0.500 (multiplicity 4)


5.
Compound: CaRe3
Source: the Alexandria database
Functional: PBE
Structure: relaxed

a = 3.148 Å, b = 4.503 Å, c = 9.558 Å
α = 90.00°, β = 90.00°, γ = 90.00°
Space group Cmmm (No. 65)
Asymmetric unit:
1 Ca 0.000 0.000 0.000 (multiplicity 2)
2 Re 0.000 0.000 0.500 (multiplicity 2)
3 Re 0.000 0.500 0.274 (multiplicity 4)


6.
Compound: CaRe2
Source: the Alexandria database
Functional: PBE
Structure: relaxed

a = 5.841 Å, b = 4.479 Å, c = 8.725 Å
α = 90.00°, β = 90.00°, γ = 90.00°
Space group Pnma (No. 62)
Asymmetric unit:
1 Ca 0.119 0.250 0.065 (multiplicity 4)
2 Re 0.065 0.250 0.686 (multiplicity 4)
3 Re 0.103 0.250 0.401 (multiplicity 4)


7.
Compound: Ca3Re
Source: the Alexandria database
Functional: PBE
Structure: relaxed

a = 10.6880 Å, b = 10.6880 Å, c = 3.1802 Å
α = 90.00°, β = 90.00°, γ = 120.00°
Space group R-3m (No. 166, hexagonal axes)
Asymmetric unit:
1 Ca 0.0000 0.5000 0.0000 (multiplicity 9)
2 Re 0.0000 0.0000 0.0000 (multiplicity 3)


8.
Compound: CaRe3
Source: the Alexandria database
Functional: PBE
Structure: relaxed

a = 10.614 Å, b = 3.023 Å, c = 4.805 Å
α = 90.00°, β = 116.21°, γ = 90.00°
Space group C2/m (No. 12)
Asymmetric unit:
1 Ca 0.000 0.000 0.000 (multiplicity 2)
2 Re 0.000 0.500 0.500 (multiplicity 2)
3 Re 0.222 0.000 0.720 (multiplicity 4)


9.
Compound: CaRe2
Source: the Alexandria database
Functional: PBE
Structure: relaxed

a = 3.149 Å, b = 3.149 Å, c = 11.909 Å
α = 90.00°, β = 90.00°, γ = 90.00°
Space group I4/mmm (No. 139)
Asymmetric unit:
1 Ca 0.000 0.000 0.000 (multiplicity 2)
2 Re 0.000 0.000 0.302 (multiplicity 4)


10.
Compound: Ca5Re
Source: the Alexandria database
Functional: PBE
Structure: relaxed

a = 3.605 Å, b = 3.605 Å, c = 15.415 Å
α = 90.00°, β = 90.00°, γ = 90.00°
Space group P4/mmm (No. 123)
Asymmetric unit:
1 Ca 0.000 0.000 0.000 (multiplicity 1)
2 Ca 0.000 0.000 0.388 (multiplicity 2)
3 Ca 0.500 0.500 0.190 (multiplicity 2)
4 Re 0.500 0.500 0.500 (multiplicity 1)


11.
Compound: CaRe3
Source: the Alexandria database
Functional: PBE
Structure: relaxed

a = 4.599 Å, b = 4.599 Å, c = 3.127 Å
α = 90.00°, β = 90.00°, γ = 90.00°
Space group P4/mmm (No. 123)
Asymmetric unit:
1 Ca 0.000 0.000 0.000 (multiplicity 1)
2 Re 0.000 0.500 0.500 (multiplicity 2)
3 Re 0.500 0.500 0.000 (multiplicity 1)


12.
Compound: CaRe3
Source: the Alexandria database
Functional: PBE
Structure: relaxed

a = 2.717 Å, b = 4.423 Å, c = 5.828 Å
α = 90.00°, β = 90.00°, γ = 90.00°
Space group Pmm2 (No. 25)
Asymmetric unit:
1 Ca 0.000 0.000 0.000 (multiplicity 1)
2 Re 0.000 0.500 0.328 (multiplicity 1)
3 Re 0.500 0.000 0.497 (multiplicity 1)
4 Re 0.500 0.500 0.749 (multiplicity 1)


13.
Compound: Ca3Re
Source: the Alexandria database
Functional: PBE
Structure: relaxed

a = 4.738 Å, b = 4.738 Å, c = 4.738 Å
α = 90.00°, β = 90.00°, γ = 90.00°
Space group Pm-3m (No. 221)
Asymmetric unit:
1 Ca 0.000 0.000 0.500 (multiplicity 3)
2 Re 0.500 0.500 0.500 (multiplicity 1)


14.
Compound: CaRe2
Source: the Alexandria database
Functional: PBE
Structure: relaxed

a = 2.925 Å, b = 21.527 Å, c = 4.178 Å
α = 90.00°, β = 90.00°, γ = 90.00°
Space group Cmcm (No. 63)
Asymmetric unit:
1 Ca 0.000 0.179 0.250 (multiplicity 4)
2 Re 0.000 0.073 0.750 (multiplicity 4)
3 Re 0.000 0.463 0.750 (multiplicity 4)


15.
Compound: CaRe3
Source: the Alexandria database
Functional: PBE
Structure: relaxed

a = 3.125 Å, b = 3.125 Å, c = 7.367 Å
α = 90.00°, β = 90.00°, γ = 90.00°
Space group P4/mmm (No. 123)
Asymmetric unit:
1 Ca 0.000 0.000 0.000 (multiplicity 1)
2 Re 0.000 0.000 0.500 (multiplicity 1)
3 Re 0.500 0.500 0.300 (multiplicity 2)


16.
Compound: Ca3Re
Source: the Alexandria database
Functional: PBE
Structure: relaxed

a = 3.345 Å, b = 5.651 Å, c = 12.702 Å
α = 90.00°, β = 90.00°, γ = 90.00°
Space group Immm (No. 71)
Asymmetric unit:
1 Ca 0.000 0.000 0.000 (multiplicity 2)
2 Ca 0.000 0.500 0.186 (multiplicity 4)
3 Re 0.000 0.000 0.500 (multiplicity 2)


17.
Compound: Ca3Re
Source: the Alexandria database
Functional: PBE
Structure: relaxed

a = 4.943 Å, b = 4.943 Å, c = 8.630 Å
α = 90.00°, β = 90.00°, γ = 90.00°
Space group I4/mmm (No. 139)
Asymmetric unit:
1 Ca 0.000 0.000 0.000 (multiplicity 2)
2 Ca 0.000 0.500 0.250 (multiplicity 4)
3 Re 0.000 0.000 0.500 (multiplicity 2)


18.
Compound: CaRe2
Source: the Alexandria database
Functional: PBE
Structure: relaxed

a = 6.856 Å, b = 6.856 Å, c = 6.856 Å
α = 90.00°, β = 90.00°, γ = 90.00°
Space group Pa-3 (No. 205)
Asymmetric unit:
1 Ca 0.000 0.000 0.000 (multiplicity 4)
2 Re 0.092 0.592 0.908 (multiplicity 8)


19.
Compound: CaRe6
Source: the Alexandria database
Functional: PBE
Structure: relaxed

a = 6.933 Å, b = 6.933 Å, c = 6.933 Å
α = 90.00°, β = 90.00°, γ = 90.00°
Space group Im-3m (No. 229)
Asymmetric unit:
1 Ca 0.000 0.000 0.000 (multiplicity 2)
2 Re 0.000 0.250 0.500 (multiplicity 12)


20.
Compound: CaRe2
Source: the Alexandria database
Functional: PBE
Structure: relaxed

a = 11.745 Å, b = 2.837 Å, c = 7.680 Å
α = 90.00°, β = 112.71°, γ = 90.00°
Space group C2/m (No. 12)
Asymmetric unit:
1 Ca 0.150 0.000 0.104 (multiplicity 4)
2 Re 0.044 0.500 0.692 (multiplicity 4)
3 Re 0.154 0.000 0.505 (multiplicity 4)


21.
Compound: CaRe2
Source: the Alexandria database
Functional: PBE
Structure: relaxed

a = 2.9034 Å, b = 2.9034 Å, c = 7.3328 Å
α = 90.00°, β = 90.00°, γ = 120.00°
Space group P-3m1 (No. 164)
Asymmetric unit:
1 Ca 0.0000 0.0000 0.0000 (multiplicity 1)
2 Re 0.3333 0.6667 0.3613 (multiplicity 2)


22.
Compound: Ca3Re
Source: the Alexandria database
Functional: PBE
Structure: relaxed

a = 6.543 Å, b = 9.916 Å, c = 3.218 Å
α = 90.00°, β = 90.00°, γ = 90.00°
Space group Cmmm (No. 65)
Asymmetric unit:
1 Ca 0.000 0.000 0.000 (multiplicity 2)
2 Ca 0.250 0.250 0.500 (multiplicity 4)
3 Re 0.000 0.500 0.000 (multiplicity 2)


23.
Compound: CaRe3
Source: the Alexandria database
Functional: PBE
Structure: relaxed

a = 9.1947 Å, b = 9.1947 Å, c = 2.7038 Å
α = 90.00°, β = 90.00°, γ = 120.00°
Space group R-3m (No. 166, hexagonal axes)
Asymmetric unit:
1 Ca 0.0000 0.0000 0.0000 (multiplicity 3)
2 Re 0.0000 0.5000 0.0000 (multiplicity 9)


24.
Compound: CaRe3
Source: the Alexandria database
Functional: PBE
Structure: relaxed

a = 6.391 Å, b = 6.391 Å, c = 6.391 Å
α = 90.00°, β = 90.00°, γ = 90.00°
Space group Fm-3m (No. 225)
Asymmetric unit:
1 Ca 0.000 0.000 0.000 (multiplicity 4)
2 Re 0.000 0.000 0.500 (multiplicity 4)
3 Re 0.250 0.250 0.250 (multiplicity 8)


25.
Compound: CaRe3
Source: the Alexandria database
Functional: PBE
Structure: relaxed

a = 5.542 Å, b = 9.234 Å, c = 2.629 Å
α = 90.00°, β = 90.00°, γ = 90.00°
Space group Cmmm (No. 65)
Asymmetric unit:
1 Ca 0.000 0.000 0.000 (multiplicity 2)
2 Re 0.000 0.500 0.000 (multiplicity 2)
3 Re 0.250 0.250 0.500 (multiplicity 4)


26.
Compound: Ca3Re
Source: the Alexandria database
Functional: PBE
Structure: relaxed

a = 3.106 Å, b = 5.160 Å, c = 6.530 Å
α = 90.00°, β = 90.00°, γ = 90.00°
Space group Pmm2 (No. 25)
Asymmetric unit:
1 Ca 0.000 0.000 0.000 (multiplicity 1)
2 Ca 0.000 0.500 0.278 (multiplicity 1)
3 Ca 0.500 0.000 0.566 (multiplicity 1)
4 Re 0.500 0.500 0.824 (multiplicity 1)


27.
Compound: CaRe2
Source: the Alexandria database
Functional: PBE
Structure: relaxed

a = 10.663 Å, b = 2.935 Å, c = 7.536 Å
α = 90.00°, β = 114.20°, γ = 90.00°
Space group Cm (No. 8)
Asymmetric unit:
1 Ca 0.000 0.000 0.000 (multiplicity 2)
2 Ca 0.125 0.500 0.374 (multiplicity 2)
3 Re 0.197 0.500 0.861 (multiplicity 2)
4 Re 0.310 0.000 0.678 (multiplicity 2)
5 Re 0.320 0.000 0.226 (multiplicity 2)
6 Re 0.475 0.500 0.581 (multiplicity 2)


28.
Compound: CaRe2
Source: the Alexandria database
Functional: PBE
Structure: relaxed

a = 11.453 Å, b = 2.987 Å, c = 7.204 Å
α = 90.00°, β = 105.06°, γ = 90.00°
Space group C2/m (No. 12)
Asymmetric unit:
1 Ca 0.004 0.000 0.231 (multiplicity 4)
2 Re 0.181 0.500 0.566 (multiplicity 4)
3 Re 0.231 0.500 0.139 (multiplicity 4)


The evaluated formation energy for the records listed, in turn: 661 713 948 604 584 597 861 580 407 444 780 738 774 498 541 670 720 2543 1055 444 650 840 625 613 811 741 672 471 meV per atom.
The evaluated density for the records listed, in turn: 9.47 4.63 9.12 6.12 14.67 12.00 4.85 14.38 11.60 3.20 15.03 14.19 4.78 10.42 13.82 4.24 4.83 8.50 11.53 11.61 12.80 4.87 15.07 15.24 14.78 4.86 12.74 11.51 g/cm³.